(1)
# Ce8C3S4N, optimized geometry, DFT PBE
# D(E_F)	72.5	states/eV per cell
# spin magnetization	5.84	μB/cell
data_Ce8C3S4N
_chemical_formula_sum 'Ce24 C9 S12 N3'
_symmetry_space_group_name_H-M 'R -3 m'
_symmetry_Int_Tables_number 166
_symmetry_space_group_name_Hall '-R 3 2"'
_cell_length_a 7.5786
_cell_length_b 7.5786
_cell_length_c 19.2946
_cell_angle_alpha 90.00
_cell_angle_beta 90.00
_cell_angle_gamma 120.00
loop_
_atom_site_label
_atom_site_type_symbol
_atom_site_fract_x
_atom_site_fract_y
_atom_site_fract_z
_atom_site_occupancy
Ce1 Ce 0.0000 0.0000 0.2393 1
Ce2 Ce 0.0016 0.5008 0.2388 1
C1 C 0.0000 0.5000 0.5000 1
S1 S 0.0000 0.0000 0.0000 1
S2 S 0.0000 0.5000 0.0000 1
N1 N 0.0000 0.0000 0.5000 1



(2)
# Ce6C3SN2, optimized geometry, DFT PBE
# D(E_F)	25.1	states/eV per cell
# spin magnetization	0.00	μB/cell
data_Ce6C3SN2
_chemical_formula_sum 'Ce12 C6 S2 N4'
_symmetry_space_group_name_H-M 'C 1 2/m 1'
_symmetry_Int_Tables_number 12
_symmetry_space_group_name_Hall '-C 2y'
_cell_length_a 16.161
_cell_length_b 3.699
_cell_length_c 7.432
_cell_angle_alpha 90.00
_cell_angle_beta 103.04
_cell_angle_gamma 90.00
loop_
_atom_site_label
_atom_site_type_symbol
_atom_site_fract_x
_atom_site_fract_y
_atom_site_fract_z
_atom_site_occupancy
Ce1 Ce 0.001 0.000 0.273 1
Ce2 Ce 0.169 0.500 0.580 1
Ce3 Ce 0.175 0.500 0.092 1
C1 C 0.000 0.500 0.500 1
C2 C 0.168 0.000 0.829 1
S1 S 0.000 0.500 0.000 1
N1 N 0.173 0.000 0.339 1



(3)
# Ce6C2S3N, optimized geometry, DFT PBE
# D(E_F)	34.9	states/eV per cell
# spin magnetization	3.01	μB/cell
data_Ce6C2S3N
_chemical_formula_sum 'Ce12 C4 S6 N2'
_symmetry_space_group_name_H-M 'C 1 2/m 1'
_symmetry_Int_Tables_number 12
_symmetry_space_group_name_Hall '-C 2y'
_cell_length_a 16.867
_cell_length_b 3.784
_cell_length_c 7.771
_cell_angle_alpha 90.00
_cell_angle_beta 105.50
_cell_angle_gamma 90.00
loop_
_atom_site_label
_atom_site_type_symbol
_atom_site_fract_x
_atom_site_fract_y
_atom_site_fract_z
_atom_site_occupancy
Ce1 Ce 0.007 0.000 0.229 1
Ce2 Ce 0.158 0.500 0.099 1
Ce3 Ce 0.174 0.500 0.565 1
C1 C 0.164 0.000 0.330 1
S1 S 0.000 0.500 0.500 1
S2 S 0.168 0.000 0.833 1
N1 N 0.000 0.500 0.000 1



(4)
# Ce6C3SeN2, optimized geometry, DFT PBE
# D(E_F)	25.8	states/eV per cell
# spin magnetization	0.14	μB/cell
data_Ce6C3SeN2
_chemical_formula_sum 'Ce12 C6 Se2 N4'
_symmetry_space_group_name_H-M 'C 1 2/m 1'
_symmetry_Int_Tables_number 12
_symmetry_space_group_name_Hall '-C 2y'
_cell_length_a 16.321
_cell_length_b 3.724
_cell_length_c 7.507
_cell_angle_alpha 90.00
_cell_angle_beta 103.20
_cell_angle_gamma 90.00
loop_
_atom_site_label
_atom_site_type_symbol
_atom_site_fract_x
_atom_site_fract_y
_atom_site_fract_z
_atom_site_occupancy
Ce1 Ce 0.000 0.000 0.218 1
Ce2 Ce 0.170 0.500 0.079 1
Ce3 Ce 0.178 0.500 0.594 1
C1 C 0.000 0.500 0.000 1
C2 C 0.168 0.000 0.326 1
Se1 Se 0.000 0.500 0.500 1
N1 N 0.176 0.000 0.841 1



(5)
# CeUCN, optimized geometry, DFT PBE
# D(E_F)	5.6	states/eV per cell
# spin magnetization	0.48	μB/cell
data_CeUCN
_chemical_formula_sum 'Ce1 U1 C1 N1'
_symmetry_space_group_name_H-M 'P 4/m m m'
_symmetry_Int_Tables_number 123
_symmetry_space_group_name_Hall '-P 4 2'
_cell_length_a 3.515
_cell_length_b 3.515
_cell_length_c 5.049
_cell_angle_alpha 90.00
_cell_angle_beta 90.00
_cell_angle_gamma 90.00
loop_
_atom_site_label
_atom_site_type_symbol
_atom_site_fract_x
_atom_site_fract_y
_atom_site_fract_z
_atom_site_occupancy
Ce1 Ce 0.000 0.000 0.000 1
U1 U 0.500 0.500 0.500 1
C1 C 0.000 0.000 0.500 1
N1 N 0.500 0.500 0.000 1



(6)
# CeZrCN, optimized geometry, DFT PBE
# D(E_F)	10.0	states/eV per cell
# spin magnetization	0.19	μB/cell
data_CeZrCN
_chemical_formula_sum 'Ce3 Zr3 C3 N3'
_symmetry_space_group_name_H-M 'R 3 m'
_symmetry_Int_Tables_number 160
_symmetry_space_group_name_Hall 'R 3 -2"'
_cell_length_a 3.3499
_cell_length_b 3.3499
_cell_length_c 17.9867
_cell_angle_alpha 90.00
_cell_angle_beta 90.00
_cell_angle_gamma 120.00
loop_
_atom_site_label
_atom_site_type_symbol
_atom_site_fract_x
_atom_site_fract_y
_atom_site_fract_z
_atom_site_occupancy
Ce1 Ce 0.0000 0.0000 0.0000 1
Zr1 Zr 0.0000 0.0000 0.1725 1
C1 C 0.0000 0.0000 0.5796 1
N1 N 0.0000 0.0000 0.7636 1



(7)
# NaCeC2O6, optimized geometry, DFT PBE
# energy relative to the lowest polymorph listed for this composition	0	meV per atom
# D(E_F)	13.6	states/eV per cell
# spin magnetization	2.00	μB/cell
data_NaCeC2O6
_chemical_formula_sum 'Na2 Ce2 C4 O12'
_symmetry_space_group_name_H-M 'P m c 21'
_symmetry_Int_Tables_number 26
_symmetry_space_group_name_Hall 'P 2c -2'
_cell_length_a 5.207
_cell_length_b 6.488
_cell_length_c 7.178
_cell_angle_alpha 90.00
_cell_angle_beta 90.00
_cell_angle_gamma 90.00
loop_
_atom_site_label
_atom_site_type_symbol
_atom_site_fract_x
_atom_site_fract_y
_atom_site_fract_z
_atom_site_occupancy
Na1 Na 0.000 0.023 0.000 1
Ce1 Ce 0.500 0.365 0.300 1
C1 C 0.000 0.471 0.972 1
C2 C 0.500 0.083 0.715 1
O1 O 0.000 0.354 0.386 1
O2 O 0.219 0.383 0.008 1
O3 O 0.288 0.013 0.252 1
O4 O 0.500 0.264 0.637 1



(8)
# NaCeCO5, optimized geometry, DFT PBE
# D(E_F)	22.4	states/eV per cell
# spin magnetization	4.13	μB/cell
data_NaCeCO5
_chemical_formula_sum 'Na4 Ce4 C4 O20'
_symmetry_space_group_name_H-M 'C 1 2/c 1'
_symmetry_Int_Tables_number 15
_symmetry_space_group_name_Hall '-C 2yc'
_cell_length_a 7.049
_cell_length_b 8.783
_cell_length_c 7.851
_cell_angle_alpha 90.00
_cell_angle_beta 114.27
_cell_angle_gamma 90.00
loop_
_atom_site_label
_atom_site_type_symbol
_atom_site_fract_x
_atom_site_fract_y
_atom_site_fract_z
_atom_site_occupancy
Na1 Na 0.000 0.156 0.250 1
Ce1 Ce 0.000 0.500 0.000 1
C1 C 0.000 0.172 0.750 1
O1 O 0.000 0.411 0.250 1
O2 O 0.079 0.264 0.649 1
O3 O 0.155 0.079 0.876 1



Here are the calculated uncorrected formation energy numbers, same order: -1278, -850, -1330, -772, -757, -859, -2073, -1888 (meV/atom).
Here are the calculated uncorrected energy numbers, same order: -7.527, -7.854, -7.560, -7.723, -9.450, -8.867, -7.618, -7.047 (eV/atom).
Here are the calculated V numbers, same order: 19.99, 18.04, 19.92, 18.51, 15.60, 14.57, 12.12, 13.85 (A^3/atom).